Computed, not measured: a geometry-optimized Nd2Ho4N structure at the PBE-GGA level of DFT.

Structure (extended XYZ):
```
7
Lattice="-2.9322 -3.2773 -1.8599 3.6377 -3.0768 -0.3134 -1.4887 -6.1907 7.1269" Properties=species:S:1:pos:R:3 pbc="T T T"
Nd -0.2871 -4.2242 1.7672
Nd -0.4961 -8.3206 3.1864
Ho -1.0094 -5.4062 4.9890
Ho 0.2262 -7.1385 -0.0353
Ho 1.8188 -1.5384 -0.1567
Ho -1.4661 -1.6387 -0.9299
N 0.0000 0.0000 0.0000
```

Properties
Symmetry: I4/mmm (139)
Electronic total energy in eV/f.u.: -38.26
E_form (uncorrected) in eV/f.u.: -2.1